First-principles (PBE-GGA) data for a relaxed ZrGaPd crystal, as listed in OQMD.

Unit cell a=7.5425 b=11.9469 c=7.0161 alpha=90.00 beta=90.00 gamma=90.00
With the nearest neighbours (Å) after each atom.
Space group Ima2 (No. 46)
Unique sites:
Zr (0.2500, 0.0020, 0.0000) x4  5 Ga 2.81-2.95, 4 Pd 2.95-2.97
Zr (0.2500, 0.2266, 0.6535) x4  5 Ga 2.78-2.85, 2 Pd 2.98
Zr (0.2500, 0.6944, 0.1177) x4  5 Ga 2.82-3.06, 6 Pd 2.93-3.02
Ga (0.0065, 0.6693, 0.4203) x8  3 Pd 2.64-2.66, 6 Zr 2.78-2.84
Ga (0.2500, 0.0332, 0.4168) x4  6 Pd 2.60-2.65, 1 Zr 2.85
Pd (0.0000, 0.0000, 0.6761) x4  4 Ga 2.65, 2 Zr 2.95
Pd (0.0400, 0.6233, 0.7873) x8  4 Ga 2.60-2.66

The density is 8.43 g/cm³. Its total energy is -228.25 eV for the cell shown.

***

First-principles (PBE-GGA) data for a relaxed CuNiHgPb crystal, as listed in OQMD.

Unit cell a=6.5910 b=6.5910 c=6.5910 alpha=90.00 beta=90.00 gamma=90.00
With the nearest neighbours (Å) after each atom.
Space group F-43m (No. 216)
Unique sites:
Cu (0.0000, 0.0000, 0.0000) x4  4 Pb 2.85, 4 Hg 2.85
Ni (0.0000, 0.0000, 0.5000) x4  4 Hg 2.85, 4 Pb 2.85
Hg (0.2500, 0.2500, 0.2500) x4  4 Cu 2.85, 4 Ni 2.85
Pb (0.2500, 0.2500, 0.7500) x4  4 Ni 2.85, 4 Cu 2.85

Its relative energy among the computed polymorphs is 0 meV per atom. The density is 12.30 g/cm³.